[1]
VASP calculation (GGA-PBE) on an optimized crystal structure of Al2NiSb.

a b c (Å): 8.2808 8.2808 8.2808
angles (deg): 22.30 22.30 22.30
Atoms (fractional coordinates):
Ni: 0.2500 0.2500 0.2500
Al: 0.5181 0.5181 0.5181
Al: 0.9819 0.9819 0.9819
Sb: 0.7500 0.7500 0.7500

Summary:
Calculated total energy: -4.396 eV per atom
Formation energy without anion corrections: -19 kJ/mol of formula units
Spin magnetization: 0.00 μB/cell
SG: R-3m

[2]
VASP calculation (GGA-PBE) on an optimized crystal structure of Al2NiSb.

a b c (Å): 6.2500 6.2500 6.2500
angles (deg): 152.30 140.15 49.22
Atoms (fractional coordinates):
Al: 0.9433 0.9433 0.0000
Ni: 0.7500 0.2500 0.5000
Sb: 0.2500 0.7500 0.5000
Al: 0.5567 0.5567 0.0000

Summary:
Calculated total energy: -4.286 eV per atom
Formation energy without anion corrections: 24 kJ/mol of formula units
Spin magnetization: 0.00 μB/cell
SG: Immm

[3]
VASP calculation (GGA-PBE) on an optimized crystal structure of AlNi12Sb3.

a b c (Å): 3.7023 3.7023 14.6669
angles (deg): 90.00 90.00 90.00
Atoms (fractional coordinates):
Sb: 0.0000 0.0000 0.2418
Ni: 0.5000 0.0000 0.3725
Ni: 0.0000 0.5000 0.6275
Ni: 0.5000 0.0000 0.1169
Ni: 0.0000 0.5000 0.3725
Al: 0.0000 0.0000 0.0000
Sb: 0.0000 0.0000 0.5000
Ni: 0.5000 0.0000 0.6275
Ni: 0.0000 0.5000 0.1169
Ni: 0.5000 0.5000 0.2474
Ni: 0.0000 0.5000 0.8831
Ni: 0.5000 0.5000 0.7526
Ni: 0.5000 0.5000 0.5000
Sb: 0.0000 0.0000 0.7582
Ni: 0.5000 0.0000 0.8831
Ni: 0.5000 0.5000 0.0000

Summary:
Calculated total energy: -5.566 eV per atom
Formation energy without anion corrections: -344 kJ/mol of formula units
Spin magnetization: 0.00 μB/cell
SG: P4/mmm

[4]
VASP calculation (GGA-PBE) on an optimized crystal structure of Al2NiSb.

a b c (Å): 4.5136 4.5136 6.0822
angles (deg): 69.58 69.58 40.25
Atoms (fractional coordinates):
Al: 0.2005 0.2005 0.3425
Sb: 0.8220 0.8220 0.7432
Ni: 0.4767 0.4767 0.3660
Al: 0.0008 0.0008 0.0483

Summary:
Calculated total energy: -4.503 eV per atom
Formation energy without anion corrections: -60 kJ/mol of formula units
Spin magnetization: 0.00 μB/cell
SG: Cm

[5]
VASP calculation (GGA-PBE) on an optimized crystal structure of Al2NiSb.

a b c (Å): 3.8916 3.8051 5.0847
angles (deg): 69.90 90.00 90.00
Atoms (fractional coordinates):
Al: 0.0000 0.0154 0.0894
Ni: 0.0000 0.3038 0.5206
Sb: 0.5000 0.7381 0.6642
Al: 0.5000 0.4428 0.2257

Summary:
Calculated total energy: -4.407 eV per atom
Formation energy without anion corrections: -23 kJ/mol of formula units
Spin magnetization: 0.00 μB/cell
SG: Pm

[6]
VASP calculation (GGA-PBE) on an optimized crystal structure of Al2NiSb.

a b c (Å): 3.0081 3.0080 7.6932
angles (deg): 90.00 90.00 89.97
Atoms (fractional coordinates):
Al: 0.0000 0.0000 0.0428
Ni: 0.0000 0.0000 0.4652
Sb: 0.5000 0.5000 0.7019
Al: 0.5000 0.5000 0.2901

Summary:
Calculated total energy: -4.405 eV per atom
Formation energy without anion corrections: -22 kJ/mol of formula units
Spin magnetization: 0.00 μB/cell
SG: P4mm

[7]
VASP calculation (GGA-PBE) on an optimized crystal structure of AlNi3Sb.

a b c (Å): 4.3373 4.3373 4.3373
angles (deg): 90.00 90.00 90.00
Atoms (fractional coordinates):
Ni: 0.5000 0.0000 0.0000
Ni: 0.0000 0.0000 0.5000
Ni: 0.0000 0.5000 0.0000
Sb: 0.5000 0.5000 0.5000
Al: 0.0000 0.0000 0.0000

Summary:
Calculated total energy: -4.598 eV per atom
Formation energy without anion corrections: 214 kJ/mol of formula units
Relative energy among the computed polymorphs: 665 meV/atom
Spin magnetization: 0.00 μB/cell
SG: Pm-3m

[8]
VASP calculation (GGA-PBE) on an optimized crystal structure of Al3NiSb.

a b c (Å): 5.2141 5.2141 5.2141
angles (deg): 90.00 90.00 90.00
Atoms (fractional coordinates):
Al: 0.0000 0.5000 0.0000
Al: 0.5000 0.0000 0.0000
Sb: 0.0000 0.0000 0.0000
Ni: 0.5000 0.5000 0.5000
Al: 0.0000 0.0000 0.5000

Summary:
Calculated total energy: -2.908 eV per atom
Formation energy without anion corrections: 636 kJ/mol of formula units
Relative energy among the computed polymorphs: 1324 meV/atom
Spin magnetization: 0.00 μB/cell
SG: Pm-3m

Calculated DOS(E_F) in order - 0.38, 0.54, 0.58, 0.45, 0.28, 0.28, 0.52, 1.01 states/eV per atom